Entry 1:
First-principles (meta-GGA SCAN) data for a crystal of YCu relaxed with PBEsol, as listed in the Alexandria database.

Geometry as CIF:
```
data_YCu
_cell_length_a 3.404
_cell_length_b 4.475
_cell_length_c 5.947
_cell_angle_alpha 112.10
_cell_angle_beta 106.63
_cell_angle_gamma 90.00
_space_group_name_H-M_alt 'P 1'
_space_group_IT_number 1
_space_group_name_Hall 'P 1'
loop_
_atom_site_label
_atom_site_fract_x
_atom_site_fract_y
_atom_site_fract_z
Cu1 0.335 0.585 0.670
Cu2 0.665 0.415 0.330
Y1 0.892 0.142 0.784
Y2 0.108 0.858 0.216
```

**Energy relative to the elements**: -129 meV per atom
**Space-group type**: Imma


Entry 2:
First-principles (meta-GGA SCAN) data for a crystal of Ti4CoP6O24 relaxed with PBEsol, as listed in the Alexandria database.

Geometry as CIF:
```
data_Ti4CoP6O24
_cell_length_a 8.416
_cell_length_b 8.416
_cell_length_c 8.416
_cell_angle_alpha 61.42
_cell_angle_beta 61.42
_cell_angle_gamma 61.42
_space_group_name_H-M_alt 'P 1'
_space_group_IT_number 1
_space_group_name_Hall 'P 1'
loop_
_atom_site_label
_atom_site_fract_x
_atom_site_fract_y
_atom_site_fract_z
Ti1 0.356 0.356 0.356
Ti2 0.870 0.870 0.870
Ti3 0.644 0.644 0.644
Ti4 0.130 0.130 0.130
Co1 0.500 0.500 0.500
P1 0.954 0.529 0.254
P2 0.254 0.954 0.529
P3 0.529 0.254 0.954
P4 0.746 0.046 0.471
P5 0.471 0.746 0.046
P6 0.046 0.471 0.746
O1 0.240 0.455 0.580
O2 0.580 0.240 0.455
O3 0.455 0.580 0.240
O4 0.097 0.939 0.725
O5 0.725 0.097 0.939
O6 0.939 0.725 0.097
O7 0.760 0.545 0.420
O8 0.420 0.760 0.545
O9 0.545 0.420 0.760
O10 0.903 0.061 0.275
O11 0.275 0.903 0.061
O12 0.061 0.275 0.903
O13 0.116 0.486 0.323
O14 0.323 0.116 0.486
O15 0.486 0.323 0.116
O16 0.809 0.002 0.632
O17 0.632 0.809 0.002
O18 0.002 0.632 0.809
O19 0.884 0.514 0.677
O20 0.677 0.884 0.514
O21 0.514 0.677 0.884
O22 0.191 0.998 0.368
O23 0.368 0.191 0.998
O24 0.998 0.368 0.191
```

**Formation energy without anion corrections**: -2.71 eV/atom
**Space-group type**: R-3


Entry 3:
First-principles (meta-GGA SCAN) data for a crystal of NaBi12O20 relaxed with PBEsol, as listed in the Alexandria database.

Geometry as CIF:
```
data_NaBi12O20
_cell_length_a 8.723
_cell_length_b 8.723
_cell_length_c 8.723
_cell_angle_alpha 109.47
_cell_angle_beta 109.47
_cell_angle_gamma 109.47
_space_group_name_H-M_alt 'P 1'
_space_group_IT_number 1
_space_group_name_Hall 'P 1'
loop_
_atom_site_label
_atom_site_fract_x
_atom_site_fract_y
_atom_site_fract_z
Na1 0.000 0.000 0.000
Bi1 0.169 0.317 0.487
Bi2 0.513 0.829 0.681
Bi3 0.148 0.831 0.319
Bi4 0.683 0.852 0.171
Bi5 0.317 0.487 0.169
Bi6 0.171 0.683 0.852
Bi7 0.831 0.319 0.148
Bi8 0.319 0.148 0.831
Bi9 0.681 0.513 0.829
Bi10 0.487 0.169 0.317
Bi11 0.852 0.171 0.683
Bi12 0.829 0.681 0.513
O1 0.663 0.663 0.663
O2 0.260 0.625 0.373
O3 0.113 0.365 0.740
O4 0.375 0.635 0.747
O5 0.718 0.000 0.000
O6 0.282 0.282 0.282
O7 0.253 0.887 0.627
O8 0.000 0.000 0.337
O9 0.627 0.253 0.887
O10 0.373 0.260 0.625
O11 0.635 0.747 0.375
O12 0.365 0.740 0.113
O13 0.337 0.000 0.000
O14 0.740 0.113 0.365
O15 0.000 0.718 0.000
O16 0.000 0.000 0.718
O17 0.887 0.627 0.253
O18 0.625 0.373 0.260
O19 0.747 0.375 0.635
O20 0.000 0.337 0.000
```

**Formation energy without anion corrections**: -1.05 eV/atom
**Space-group type**: I23


Entry 4:
First-principles (meta-GGA SCAN) data for a crystal of MnTc2Te relaxed with PBEsol, as listed in the Alexandria database.

Geometry as CIF:
```
data_MnTc2Te
_cell_length_a 3.186
_cell_length_b 4.253
_cell_length_c 4.421
_cell_angle_alpha 90.00
_cell_angle_beta 90.00
_cell_angle_gamma 90.00
_space_group_name_H-M_alt 'P 1'
_space_group_IT_number 1
_space_group_name_Hall 'P 1'
loop_
_atom_site_label
_atom_site_fract_x
_atom_site_fract_y
_atom_site_fract_z
Mn1 0.000 0.500 0.500
Tc1 0.000 0.000 0.000
Tc2 0.500 0.500 0.000
Te1 0.500 0.000 0.500
```

**Formation energy without anion corrections**: 0.36 eV/atom
**Space-group type**: Pmmm


Entry 5:
First-principles (meta-GGA SCAN) data for a crystal of CeSbIr relaxed with PBEsol, as listed in the Alexandria database.

Geometry as CIF:
```
data_CeSbIr
_cell_length_a 4.521
_cell_length_b 7.145
_cell_length_c 7.907
_cell_angle_alpha 90.00
_cell_angle_beta 90.00
_cell_angle_gamma 90.00
_space_group_name_H-M_alt 'P 1'
_space_group_IT_number 1
_space_group_name_Hall 'P 1'
loop_
_atom_site_label
_atom_site_fract_x
_atom_site_fract_y
_atom_site_fract_z
Sb1 0.250 0.675 0.588
Sb2 0.750 0.325 0.412
Sb3 0.750 0.825 0.088
Sb4 0.250 0.175 0.912
Ir1 0.250 0.278 0.585
Ir2 0.750 0.722 0.415
Ir3 0.750 0.222 0.085
Ir4 0.250 0.778 0.915
Ce1 0.250 0.510 0.192
Ce2 0.750 0.490 0.808
Ce3 0.750 0.990 0.692
Ce4 0.250 0.010 0.308
```

**Formation energy without anion corrections**: -1.04 eV/atom
**Space-group type**: Pnma


Entry 6:
First-principles (meta-GGA SCAN) data for a crystal of ReSb3N relaxed with PBEsol, as listed in the Alexandria database.

Geometry as CIF:
```
data_ReSb3N
_cell_length_a 4.490
_cell_length_b 4.490
_cell_length_c 4.490
_cell_angle_alpha 90.00
_cell_angle_beta 90.00
_cell_angle_gamma 90.00
_space_group_name_H-M_alt 'P 1'
_space_group_IT_number 1
_space_group_name_Hall 'P 1'
loop_
_atom_site_label
_atom_site_fract_x
_atom_site_fract_y
_atom_site_fract_z
Re1 0.500 0.500 0.500
N1 0.000 0.000 0.000
Sb1 0.000 0.500 0.000
Sb2 0.000 0.000 0.500
Sb3 0.500 0.000 0.000
```

**Formation energy without anion corrections**: 1.22 eV/atom
**Space-group type**: Pm-3m


Entry 7:
First-principles (meta-GGA SCAN) data for a crystal of YAlCr2 relaxed with PBEsol, as listed in the Alexandria database.

Geometry as CIF:
```
data_YAlCr2
_cell_length_a 3.136
_cell_length_b 4.567
_cell_length_c 5.285
_cell_angle_alpha 115.60
_cell_angle_beta 107.26
_cell_angle_gamma 90.00
_space_group_name_H-M_alt 'P 1'
_space_group_IT_number 1
_space_group_name_Hall 'P 1'
loop_
_atom_site_label
_atom_site_fract_x
_atom_site_fract_y
_atom_site_fract_z
Y1 0.483 0.483 0.966
Cr1 0.038 0.038 0.076
Cr2 0.713 0.213 0.425
Al1 0.266 0.766 0.533
```

**Energy relative to the elements**: 203 meV per atom
**Space-group type**: Imm2


Entry 8:
First-principles (meta-GGA SCAN) data for a crystal of Li2ZnHg2 relaxed with PBEsol, as listed in the Alexandria database.

Geometry as CIF:
```
data_Li2ZnHg2
_cell_length_a 3.241
_cell_length_b 7.360
_cell_length_c 7.360
_cell_angle_alpha 90.00
_cell_angle_beta 90.00
_cell_angle_gamma 90.00
_space_group_name_H-M_alt 'P 1'
_space_group_IT_number 1
_space_group_name_Hall 'P 1'
loop_
_atom_site_label
_atom_site_fract_x
_atom_site_fract_y
_atom_site_fract_z
Zn1 0.000 0.000 0.000
Zn2 0.000 0.500 0.500
Hg1 0.000 0.354 0.854
Hg2 0.000 0.854 0.646
Hg3 0.000 0.646 0.146
Hg4 0.000 0.146 0.354
Li1 0.500 0.154 0.654
Li2 0.500 0.654 0.846
Li3 0.500 0.846 0.346
Li4 0.500 0.346 0.154
```

**Energy relative to the elements**: -278 meV per atom
**Space-group type**: P4/mbm


| no. | D(E_F) (states/eV per cell) | electronic total energy (eV per atom) |
| --- | --- | --- |
| 1 | 3.30 | -21.65 |
| 2 | 7.29 | -11.09 |
| 3 | 26.12 | -33.53 |
| 4 | 2.80 | -31.05 |
| 5 | 8.73 | -52.02 |
| 6 | 2.57 | -37.21 |
| 7 | 2.51 | -17.89 |
| 8 | 3.09 | -31.20 |